No. 1
Below is crystalline Na2TlCoH6 at its relaxed geometry, with properties calculated at the PBE level.

Computed properties:
**Symmetry**: P-3m1
**VASP energy**: -3.276 eV per atom

abc: 6.5304 5.0309 5.0309
angles: 120.00 90.00 90.00
Closest atoms and distances in Å follow each position.
Element x y z (fractional)
1 Na 0.0987 0.3333 0.6667  9 H 2.28-2.54
2 Na 0.9013 0.6667 0.3333  9 H 2.28-2.54
3 Tl 0.5000 0.0000 0.0000  6 H 2.65
4 Co 0.0000 0.0000 0.0000  6 H 1.55
5 H 0.8581 0.1433 0.2866  1 Co 1.55
6 H 0.8581 0.1433 0.8567  1 Co 1.55
7 H 0.8581 0.7134 0.8567  1 Co 1.55
8 H 0.1419 0.8567 0.1433  1 Co 1.55
9 H 0.1419 0.2866 0.1433  1 Co 1.55
10 H 0.1419 0.8567 0.7134  1 Co 1.55

***

No. 2
Below is crystalline NaVCoH2 at its relaxed geometry, with properties calculated at the PBE level.

Computed properties:
**Symmetry**: P4/mmm
**VASP energy**: -3.379 eV per atom

abc: 3.4431 5.6032 3.4431
angles: 90.00 90.00 90.00
Closest atoms and distances in Å follow each position.
Element x y z (fractional)
1 Na 0.0000 0.0000 0.0000  4 H 1.72
2 Co 0.5000 0.5000 0.5000  4 V 2.43
3 H 0.0000 0.0000 0.5000  2 Na 1.72
4 H 0.5000 0.0000 0.0000  2 Na 1.72
5 V 0.0000 0.5000 0.0000  4 Co 2.43

***

No. 3
Below is crystalline NbCo3H at its relaxed geometry, with properties calculated at the PBE level.

Computed properties:
**Symmetry**: C2/c
**VASP energy**: -6.924 eV per atom
**E above lowest polymorph**: 202.4 meV/atom

abc: 9.5867 6.8975 6.8975
angles: 76.97 123.32 56.68
Closest atoms and distances in Å follow each position.
Element x y z (fractional)
1 H 0.7500 0.2003 0.7003  6 Co 1.80-1.91
2 H 0.2500 0.7997 0.2997  6 Co 1.80-1.91
3 H 0.7500 0.4346 0.9346  6 Co 1.81-1.88
4 H 0.2500 0.5654 0.0654  6 Co 1.81-1.88
5 Nb 0.0499 0.5048 0.3355  7 Co 2.48-2.72
6 Nb 0.4501 0.8355 0.0048  7 Co 2.48-2.72
7 Nb 0.9501 0.4952 0.6645  7 Co 2.48-2.72
8 Nb 0.5499 0.1645 0.9952  7 Co 2.48-2.72
9 Co 0.4274 0.3813 0.4893  3 H 1.80-1.88
10 Co 0.0726 0.9893 0.8813  3 H 1.80-1.88
11 Co 0.5726 0.6187 0.5107  3 H 1.80-1.88
12 Co 0.9274 0.0107 0.1187  3 H 1.80-1.88
13 Co 0.0909 0.2100 0.1582  2 H 1.81-1.91
14 Co 0.4091 0.6582 0.7100  2 H 1.81-1.91
15 Co 0.9091 0.7900 0.8418  2 H 1.81-1.91
16 Co 0.5909 0.3418 0.2900  2 H 1.81-1.91
17 Co 0.5809 0.8510 0.7489  1 H 1.86
18 Co 0.9191 0.2489 0.3510  1 H 1.86
19 Co 0.4191 0.1490 0.2511  1 H 1.86
20 Co 0.0809 0.7511 0.6490  1 H 1.86

***

No. 4
Below is crystalline NbCo3H at its relaxed geometry, with properties calculated at the PBE level.

Computed properties:
**Symmetry**: P2_1/c
**VASP energy**: -6.984 eV per atom
**E above lowest polymorph**: 142.5 meV/atom

abc: 15.6763 4.4168 5.2423
angles: 90.00 145.33 90.00
Closest atoms and distances in Å follow each position.
Element x y z (fractional)
1 H 0.4982 0.7390 0.6055  4 Co 1.73-1.87
2 H 0.5018 0.2610 0.3945  4 Co 1.73-1.87
3 H 0.0018 0.2390 0.8945  4 Co 1.73-1.87
4 H 0.9982 0.7610 0.1055  4 Co 1.73-1.87
5 Nb 0.1557 0.9086 0.7716  1 H 2.13
6 Nb 0.8443 0.0914 0.2284  1 H 2.13
7 Nb 0.3443 0.4086 0.7284  1 H 2.13
8 Nb 0.6557 0.5914 0.2716  1 H 2.13
9 Co 0.3958 0.8972 0.1067  2 H 1.73-1.87
10 Co 0.6042 0.1028 0.8933  2 H 1.73-1.87
11 Co 0.1042 0.3972 0.3933  2 H 1.73-1.87
12 Co 0.8958 0.6028 0.6067  2 H 1.73-1.87
13 Co 0.3559 0.4059 0.2606  2 H 1.87-1.94
14 Co 0.6441 0.5941 0.7394  2 H 1.87-1.94
15 Co 0.1441 0.9059 0.2394  2 H 1.87-1.94
16 Co 0.8559 0.0941 0.7606  2 H 1.87-1.94
17 Co 0.3949 0.8950 0.6113  1 H 1.78
18 Co 0.6051 0.1050 0.3887  1 H 1.78
19 Co 0.1051 0.3950 0.8887  1 H 1.78
20 Co 0.8949 0.6050 0.1113  1 H 1.78

***

No. 5
Below is crystalline NbCo3H at its relaxed geometry, with properties calculated at the PBE level.

Computed properties:
**Symmetry**: P2_1/m
**VASP energy**: -7.087 eV per atom
**E above lowest polymorph**: 40.0 meV/atom

abc: 4.2127 5.1796 4.6508
angles: 90.00 88.88 90.00
Closest atoms and distances in Å follow each position.
Element x y z (fractional)
1 H 0.0223 0.2500 0.0072  5 Co 1.76-1.85
2 H 0.9777 0.7500 0.9928  5 Co 1.76-1.85
3 Nb 0.7389 0.2500 0.6445  1 H 2.09
4 Nb 0.2611 0.7500 0.3555  1 H 2.09
5 Co 0.7485 0.0038 0.1617  2 H 1.80-1.85
6 Co 0.2515 0.9962 0.8383  2 H 1.80-1.85
7 Co 0.7485 0.4962 0.1617  2 H 1.80-1.85
8 Co 0.2515 0.5038 0.8383  2 H 1.80-1.85
9 Co 0.2539 0.2500 0.3180  1 H 1.76
10 Co 0.7461 0.7500 0.6820  1 H 1.76

***

No. 6
Below is crystalline Nb2CoH2 at its relaxed geometry, with properties calculated at the PBE level.

Computed properties:
**Symmetry**: Cmc2_1
**VASP energy**: -6.780 eV per atom
**E above lowest polymorph**: 158.1 meV/atom

abc: 2.7244 4.9788 7.8707
angles: 90.00 90.00 105.88
Closest atoms and distances in Å follow each position.
Element x y z (fractional)
1 Nb 0.9112 0.8223 0.1622  2 H 2.11-2.18
2 Nb 0.3518 0.7037 0.8396  3 H 2.11-2.24
3 Nb 0.0888 0.1777 0.6622  2 H 2.11-2.18
4 Nb 0.6482 0.2963 0.3396  3 H 2.11-2.24
5 Co 0.6322 0.2644 0.9865  4 H 1.76-1.89
6 Co 0.3678 0.7356 0.4865  4 H 1.76-1.89
7 H 0.2216 0.4431 0.0764  2 Co 1.76
8 H 0.0064 0.0127 0.9206  2 Co 1.89, 3 Nb 2.11
9 H 0.7784 0.5569 0.5764  2 Co 1.76
10 H 0.9936 0.9873 0.4206  2 Co 1.89, 3 Nb 2.11

***

No. 7
Below is crystalline Nb2CoH6 at its relaxed geometry, with properties calculated at the PBE level.

Computed properties:
**Symmetry**: C2/m
**VASP energy**: -5.371 eV per atom

abc: 3.0663 4.4659 5.3949
angles: 114.45 106.63 90.00
Closest atoms and distances in Å follow each position.
Element x y z (fractional)
1 Nb 0.6613 0.6613 0.3227  8 H 1.96-1.98
2 Nb 0.3387 0.3387 0.6773  8 H 1.96-1.98
3 Co 0.0000 0.0000 0.0000  8 H 1.77-1.80
4 H 0.1567 0.3822 0.3135  1 Co 1.77, 3 Nb 1.96-1.97
5 H 0.8433 0.0687 0.6865  1 Co 1.77, 3 Nb 1.96-1.97
6 H 0.8433 0.6178 0.6865  1 Co 1.77, 3 Nb 1.96-1.97
7 H 0.5000 0.2104 0.0000  2 Co 1.80, 1 H 1.88, 2 Nb 1.98
8 H 0.1567 0.9313 0.3135  1 Co 1.77, 3 Nb 1.96-1.97
9 H 0.5000 0.7896 0.0000  2 Co 1.80, 1 H 1.88, 2 Nb 1.98

***

No. 8
Below is crystalline Nb2CoH2 at its relaxed geometry, with properties calculated at the PBE level.

Computed properties:
**Symmetry**: P4/mbm
**VASP energy**: -6.732 eV per atom
**E above lowest polymorph**: 206.3 meV/atom

abc: 6.0540 6.0540 2.7822
angles: 90.00 90.00 90.00
Closest atoms and distances in Å follow each position.
Element x y z (fractional)
1 H 0.3725 0.8725 0.0000  1 H 2.18, 6 Nb 2.26, 2 Co 2.38
2 H 0.8725 0.6275 0.0000  1 H 2.18, 6 Nb 2.26, 2 Co 2.38
3 H 0.6275 0.1275 0.0000  1 H 2.18, 6 Nb 2.26, 2 Co 2.38
4 H 0.1275 0.3725 0.0000  1 H 2.18, 6 Nb 2.26, 2 Co 2.38
5 Nb 0.1650 0.6650 0.5000  6 H 2.26
6 Nb 0.6650 0.8350 0.5000  6 H 2.26
7 Nb 0.8350 0.3350 0.5000  6 H 2.26
8 Nb 0.3350 0.1650 0.5000  6 H 2.26
9 Co 0.0000 0.0000 0.0000  4 H 2.38, 8 Nb 2.65
10 Co 0.5000 0.5000 0.0000  4 H 2.38, 8 Nb 2.65

***

No. 9
Below is crystalline NbCo3H at its relaxed geometry, with properties calculated at the PBE level.

Computed properties:
**Symmetry**: P2_1/c
**VASP energy**: -7.084 eV per atom
**E above lowest polymorph**: 42.6 meV/atom

abc: 16.2289 4.2095 6.9614
angles: 90.00 154.73 90.00
Closest atoms and distances in Å follow each position.
Element x y z (fractional)
1 H 0.1216 0.4781 0.6117  5 Co 1.74-1.87
2 H 0.8784 0.5219 0.3883  5 Co 1.74-1.87
3 H 0.3784 0.9781 0.8883  5 Co 1.74-1.87
4 H 0.6216 0.0219 0.1117  5 Co 1.74-1.87
5 Nb 0.3029 0.7601 0.1589  1 H 2.08
6 Nb 0.6971 0.2399 0.8411  1 H 2.08
7 Nb 0.1971 0.2601 0.3411  1 H 2.08
8 Nb 0.8029 0.7399 0.6589  1 H 2.08
9 Co 0.3327 0.2485 0.9946  2 H 1.81-1.84
10 Co 0.6673 0.7515 0.0054  2 H 1.81-1.84
11 Co 0.1673 0.7485 0.5054  2 H 1.81-1.84
12 Co 0.8327 0.2515 0.4946  2 H 1.81-1.84
13 Co 0.4663 0.2590 0.6489  1 H 1.74
14 Co 0.5337 0.7410 0.3511  1 H 1.74
15 Co 0.0337 0.7590 0.8511  1 H 1.74
16 Co 0.9663 0.2410 0.1489  1 H 1.74
17 Co 0.4207 0.7483 0.7594  2 H 1.82-1.87
18 Co 0.5793 0.2517 0.2406  2 H 1.82-1.87
19 Co 0.0793 0.2483 0.7406  2 H 1.82-1.87
20 Co 0.9207 0.7517 0.2594  2 H 1.82-1.87

***

No. 10
Below is crystalline NbCo3H6 at its relaxed geometry, with properties calculated at the PBE level.

Computed properties:
**Symmetry**: R3
**VASP energy**: -5.193 eV per atom

abc: 4.3071 4.3072 4.7862
angles: 90.00 116.74 120.00
Closest atoms and distances in Å follow each position.
Element x y z (fractional)
1 Nb 0.7946 0.8973 0.6919  9 H 2.11-2.22
2 Co 0.6413 0.3206 0.9619  6 H 1.62-1.78
3 Co 0.3616 0.6808 0.0424  6 H 1.67-1.75
4 Co 0.2097 0.1049 0.3146  3 H 1.70
5 H 0.3203 0.4283 0.7277  2 Co 1.62-1.75
6 H 0.1605 0.6894 0.2687  3 Co 1.67-1.78
7 H 0.7976 0.1082 0.2687  3 Co 1.67-1.78
8 H 0.2994 0.8919 0.7277  2 Co 1.62-1.75
9 H 0.8358 0.4074 0.7277  2 Co 1.62-1.75
10 H 0.5794 0.4711 0.2687  3 Co 1.67-1.78

***

No. 11
Below is crystalline NbCoH2 at its relaxed geometry, with properties calculated at the PBE level.

Computed properties:
**Symmetry**: I-42d
**VASP energy**: -6.001 eV per atom
**E above lowest polymorph**: 107.2 meV/atom

abc: 3.9985 3.9985 5.2083
angles: 67.43 67.43 90.00
Closest atoms and distances in Å follow each position.
Element x y z (fractional)
1 H 0.5546 0.1250 0.2500  2 Co 1.65
2 H 0.1954 0.6250 0.2500  2 Co 1.65
3 H 0.3750 0.4454 0.7500  2 Co 1.65
4 H 0.8750 0.8046 0.7500  2 Co 1.65
5 Nb 0.0000 0.0000 0.0000  4 H 1.96
6 Nb 0.7500 0.2500 0.5000  4 H 1.96
7 Co 0.5000 0.5000 0.0000  4 H 1.65
8 Co 0.2500 0.7500 0.5000  4 H 1.65